# Ca2ZnSi

A crystal of Ca2ZnSi relaxed with PBEsol (SCAN, Alexandria via LeMat-Bulk).

Output
D(E_F) (states/eV/atom): 0.432
Formation energy without anion corrections (eV per atom): -0.415
Raw total energy (eV per atom): -11.13
Mass density (Mg/m³): 2.9
Volume (Å³/f.u.): 97.8

Unit cell a=4.1565 b=4.3589 c=5.8206 alpha=111.99 beta=90.00 gamma=90.00
With the nearest neighbours (Å) after each atom.
Sites, in units of the cell vectors:
Si  0.0000  0.8141  0.6282  2 Zn 2.46
Zn  0.5000  0.6921  0.3843  2 Si 2.46
Ca  0.0000  0.1065  0.2131  3 Si 3.13-3.16, 4 Zn 3.15
Ca  0.5000  0.3903  0.7806  3 Zn 3.05-3.26, 4 Si 3.12